VASP calculation (GGA-PBE) on crystalline Mg4FeSe at its relaxed geometry.

extended XYZ file:
```
6
Lattice="-0.725 1.303 5.430 -3.263 -3.231 3.259 2.319 -3.213 4.001" Properties=species:S:1:pos:R:3 pbc="T T T"
Mg 0.538 -3.537 6.760
Se -1.251 -3.856 9.518
Mg -0.625 -1.926 4.754
Mg -2.261 -3.546 6.389
Fe 0.000 0.000 0.000
Mg -0.989 -1.273 7.477
```

5
Lattice="-2.558 -4.030 -0.487 1.636 -1.550 4.236 -3.715 2.092 2.201" Properties=species:S:1:pos:R:3 comment="MgFeSe3 (GGA-PBE, optimized geometry)" de_polymorph_ev_per_atom=0.000 pbc="T T T"
Se -1.279 -2.015 -0.244
Mg -2.318 -1.744 2.975
Se 0.818 -0.775 2.118
Fe 0.000 0.000 0.000
Se -1.858 1.046 1.100

4
Lattice="3.242 0.000 0.000 0.000 3.242 0.000 0.000 0.000 5.856" Properties=species:S:1:pos:R:3 comment="MgFe2Se (GGA-PBE, optimized geometry)" de_polymorph_ev_per_atom=0.006 pbc="T T T"
Se 1.621 1.621 4.594
Fe 0.000 0.000 0.104
Mg 0.000 0.000 2.853
Fe 1.621 1.621 1.235

3
Lattice="5.265 -0.085 0.093 4.317 3.014 0.100 0.948 0.282 3.086" Properties=species:S:1:pos:R:3 comment="MgFeSe (GGA-PBE, optimized geometry)" de_polymorph_ev_per_atom=0.105 pbc="T T T"
Fe 1.167 0.349 3.013
Mg 3.866 1.176 2.109
Se 6.445 1.967 1.244

4
Lattice="-1.507 -2.841 -0.868 2.595 -1.813 1.428 -1.481 -0.930 5.615" Properties=species:S:1:pos:R:3 comment="MgFe2Se (GGA-PBE, optimized geometry)" de_polymorph_ev_per_atom=0.000 pbc="T T T"
Se 0.659 -3.825 4.981
Fe -0.548 -1.988 1.064
Mg 0.684 -1.489 3.683
Fe 1.962 -1.467 1.394

4
Lattice="8.275 0.004 0.002 7.746 2.910 0.002 7.746 1.409 2.546" Properties=species:S:1:pos:R:3 comment="MgFe2Se (GGA-PBE, optimized geometry)" de_polymorph_ev_per_atom=0.275 pbc="T T T"
Fe 11.686 2.125 1.254
Fe 0.198 0.036 0.021
Mg 5.942 1.081 0.638
Se 17.825 3.242 1.913

4
Lattice="-2.177 -0.187 1.850 -0.242 -2.158 -1.866 4.484 -4.658 4.806" Properties=species:S:1:pos:R:3 comment="MgFe2Se (GGA-PBE, optimized geometry)" de_polymorph_ev_per_atom=0.373 pbc="T T T"
Fe 2.322 -2.411 2.488
Fe 4.405 -4.575 4.721
Se 2.153 -4.666 3.597
Mg -0.089 -2.337 1.194

4
Lattice="3.807 -1.227 1.093 0.578 -3.776 1.612 1.951 -2.919 -2.205" Properties=species:S:1:pos:R:3 comment="MgFe2Se (GGA-PBE, optimized geometry)" de_polymorph_ev_per_atom=0.369 pbc="T T T"
Fe 4.752 -5.942 0.375
Mg 0.000 0.000 0.000
Fe 1.584 -1.981 0.125
Se 3.168 -3.961 0.250

6
Lattice="3.985 0.000 0.000 0.000 3.985 0.000 0.000 0.000 5.976" Properties=species:S:1:pos:R:3 comment="MgFeSe (GGA-PBE, optimized geometry)" de_polymorph_ev_per_atom=0.000 pbc="T T T"
Se 0.000 1.992 1.628
Se 1.992 0.000 4.347
Mg 0.000 1.992 4.865
Fe 1.992 1.992 2.988
Mg 1.992 0.000 1.110
Fe 0.000 0.000 2.988

4
Lattice="3.750 0.000 0.000 0.000 3.750 0.000 0.000 0.000 4.232" Properties=species:S:1:pos:R:3 comment="MgFe2Se (GGA-PBE, optimized geometry)" de_polymorph_ev_per_atom=0.128 pbc="T T T"
Fe 0.000 0.000 0.000
Mg 1.875 0.000 2.116
Fe 1.875 1.875 0.000
Se 0.000 1.875 2.116

VASP calculation (GGA-PBE) on crystalline MgTa2FeSe at its relaxed geometry.

extended XYZ file:
```
5
Lattice="4.551 0.000 0.000 0.000 4.809 0.000 0.000 0.000 4.551" Properties=species:S:1:pos:R:3 pbc="T T T"
Fe 0.000 0.000 0.000
Se 2.275 2.405 2.275
Ta 2.275 0.000 0.000
Ta 0.000 0.000 2.275
Mg 0.000 2.405 0.000
```

VASP calculation (GGA-PBE) on crystalline MgFeSi2 at its relaxed geometry.

extended XYZ file:
```
4
Lattice="-2.534 -0.830 1.446 -0.426 -2.222 -2.022 3.268 -3.836 3.526" Properties=species:S:1:pos:R:3 pbc="T T T"
Mg 0.934 -4.360 2.317
Fe 1.401 -1.645 1.512
Si -0.540 -2.629 0.726
Si 0.146 -0.171 0.157
```

| no. | ΔE_f (raw) (eV per atom) | energy (eV per atom) |
| --- | --- | --- |
| 1 | 0.39 | -2.669 |
| 2 | 0.02 | -4.079 |
| 3 | 0.01 | -5.488 |
| 4 | -0.06 | -4.577 |
| 5 | 0.01 | -5.494 |
| 6 | 0.28 | -5.219 |
| 7 | 0.38 | -5.120 |
| 8 | 0.38 | -5.125 |
| 9 | -0.17 | -4.682 |
| 10 | 0.14 | -5.365 |
| 11 | 0.60 | -6.850 |
| 12 | -0.03 | -5.257 |